1.
DFT (PBE) results for a relaxed structure of Lu4AlCdC2.

Properties
Raw total energy ... -5.4983 eV per atom

a = 3.4854 Å, b = 3.4854 Å, c = 15.7510 Å
α = 90.00°, β = 90.00°, γ = 120.00°
Fractional coordinates of all 8 atoms:
Al (0.3333, 0.6667, 0.0000)
Lu (0.3333, 0.6667, 0.6729)
Lu (0.3333, 0.6667, 0.3271)
Lu (0.6667, 0.3333, 0.8396)
Lu (0.6667, 0.3333, 0.1604)
C (0.0000, 0.0000, 0.2472)
C (0.0000, 0.0000, 0.7528)
Cd (0.6667, 0.3333, 0.5000)

***

2.
DFT (PBE) results for a relaxed structure of AlCdMo4C2.

Properties
Raw total energy ... -8.3618 eV per atom

a = 3.0571 Å, b = 3.0571 Å, c = 13.8819 Å
α = 90.00°, β = 90.00°, γ = 120.00°
Fractional coordinates of all 8 atoms:
Mo (0.6667, 0.3333, 0.1765)
Mo (0.0000, 0.0000, 0.3454)
Mo (0.6667, 0.3333, 0.8235)
Mo (0.0000, 0.0000, 0.6546)
C (0.3333, 0.6667, 0.2590)
C (0.3333, 0.6667, 0.7410)
Cd (0.0000, 0.0000, 0.0000)
Al (0.6667, 0.3333, 0.5000)

***

3.
DFT (PBE) results for a relaxed structure of Nb4AlCdC2.

Properties
Raw total energy ... -8.3425 eV per atom

a = 3.1635 Å, b = 3.1635 Å, c = 14.2448 Å
α = 90.00°, β = 90.00°, γ = 120.00°
Fractional coordinates of all 8 atoms:
C (0.3333, 0.6667, 0.2434)
C (0.3333, 0.6667, 0.7566)
Al (0.0000, 0.0000, 0.0000)
Nb (0.0000, 0.0000, 0.6738)
Nb (0.6667, 0.3333, 0.1566)
Nb (0.6667, 0.3333, 0.8434)
Nb (0.0000, 0.0000, 0.3262)
Cd (0.6667, 0.3333, 0.5000)

***

4.
DFT (PBE) results for a relaxed structure of Sc4AlCdC2.

Properties
Raw total energy ... -6.4914 eV per atom

a = 3.3153 Å, b = 3.3153 Å, c = 15.2202 Å
α = 90.00°, β = 90.00°, γ = 120.00°
Fractional coordinates of all 8 atoms:
Al (0.6667, 0.3333, 0.0000)
Sc (0.0000, 0.0000, 0.1618)
Sc (0.6667, 0.3333, 0.6760)
Sc (0.6667, 0.3333, 0.3240)
Sc (0.0000, 0.0000, 0.8382)
C (0.3333, 0.6667, 0.7543)
C (0.3333, 0.6667, 0.2457)
Cd (0.0000, 0.0000, 0.5000)

***

no.,M_tot (μB/atom)
1,0.0842
2,0.0001
3,0.0004
4,0.0673